BaMnNO2 | PBE+U | relaxed

Values from the calculation:
- spin magnetization (μB per formula unit) = 5.01
- E_tot (eV/cell) = -24.478
- space-group type = No. 123
- density (kg/m3) = 4049

Unit cell a=4.5435 b=4.5435 c=4.7333 alpha=90.00 beta=90.00 gamma=90.00
Positions (direct):
Ba  0.0000  0.0000  0.0000
Mn  0.5000  0.5000  0.5000
N  0.0000  0.0000  0.5000
O  0.0000  0.5000  0.0000
O  0.5000  0.0000  0.0000